Below is a relaxed BaCa2Pt9 crystal, with properties calculated at the PBE level.

The formation energy comes out at -0.72 eV per atom. Its total magnetization is 0.000 Bohr magnetons per cell. The calculation puts the density of states at the Fermi level at 0.66 states/eV/atom.

```
BaCa2Pt9
1.0
5.299 0.000 1.577
2.415 4.717 1.577
0.097 0.059 9.366
Ba Pt Ca
1 9 2
Cartesian
0.000 0.000 0.000
3.378 0.429 8.034
4.597 2.811 8.830
3.906 2.388 6.260
3.214 1.965 3.690
4.434 4.347 4.486
5.249 3.209 11.439
5.890 1.965 4.486
2.563 1.567 1.081
1.921 2.811 8.034
1.149 0.702 5.833
6.663 4.074 6.687
```